No. 1
Density functional theory data (PBE-GGA) for a relaxed BaLiSc2 crystal.

abc: 11.3655 11.3655 11.3655
angles: 17.61 17.61 17.61
Last column: magnetic moment on the atom in μB.
Atoms (fractional coordinates):
Ba 0.2500 0.2500 0.2500  0.06
Li 0.7500 0.7500 0.7500  0.03
Sc 0.0103 0.0103 0.0103  0.26
Sc 0.4897 0.4897 0.4897  0.26

relative energy among the computed polymorphs: 0.193 eV/atom

***

No. 2
Density functional theory data (PBE-GGA) for a relaxed BaLiSc2 crystal.

abc: 5.4567 5.4567 3.9494
angles: 90.00 90.00 90.00
Last column: magnetic moment on the atom in μB.
Atoms (fractional coordinates):
Ba 0.5000 0.0000 0.5000  0.04
Li 0.0000 0.5000 0.5000  0.01
Sc 0.0000 0.0000 0.0000  0.23
Sc 0.5000 0.5000 0.0000  0.23

relative energy among the computed polymorphs: 0.291 eV/atom

***

No. 3
Density functional theory data (PBE-GGA) for a relaxed Ba2LiSc crystal.

abc: 9.4951 3.9217 9.7606
angles: 90.00 118.11 90.00
Last column: magnetic moment on the atom in μB.
Atoms (fractional coordinates):
Ba 0.6987 0.0000 0.9516  0.02
Ba 0.0080 0.0000 0.3948  0.05
Ba 0.4630 0.0000 0.4553  0.00
Ba 0.9437 0.5000 0.7386  0.03
Li 0.6084 0.5000 0.2196  0.00
Li 0.1352 0.5000 0.1374  0.00
Sc 0.3206 0.5000 0.7386  0.45
Sc 0.3262 0.0000 0.0021  0.31

relative energy among the computed polymorphs: 0.000 eV/atom

***

No. 4
Density functional theory data (PBE-GGA) for a relaxed Ba4LiSc crystal.

abc: 7.5741 7.5741 7.5741
angles: 60.00 60.00 60.00
Last column: magnetic moment on the atom in μB.
Atoms (fractional coordinates):
Ba 0.8778 0.3741 0.3741  0.10
Ba 0.3741 0.3741 0.8778  0.10
Ba 0.3741 0.8778 0.3741  0.10
Ba 0.3741 0.3741 0.3741  0.10
Li 0.7500 0.7500 0.7500  0.00
Sc 0.0000 0.0000 0.0000  0.67

final energy: -2.087 eV per atom

***

No. 5
Density functional theory data (PBE-GGA) for a relaxed Ba2LiSc crystal.

abc: 10.0698 4.0169 16.3926
angles: 90.00 93.82 90.00
Last column: magnetic moment on the atom in μB.
Atoms (fractional coordinates):
Sc 0.1727 0.0000 0.0054  0.07
Sc 0.1727 0.5000 0.5054  0.07
Sc 0.2448 0.0000 0.6535  0.25
Sc 0.2448 0.5000 0.1535  0.25
Ba 0.5729 0.0000 0.2306  0.05
Ba 0.5729 0.5000 0.7306  0.05
Ba 0.0322 0.0000 0.3157  0.01
Ba 0.0322 0.5000 0.8157  0.01
Ba 0.4892 0.0000 0.4974  0.02
Ba 0.4892 0.5000 0.9974  0.02
Ba 0.8937 0.0000 0.5830  0.01
Ba 0.8937 0.5000 0.0830  0.01
Li 0.7651 0.0000 0.9016  0.00
Li 0.7651 0.5000 0.4016  0.00
Li 0.3331 0.0000 0.8385  0.00
Li 0.3331 0.5000 0.3385  0.00

relative energy among the computed polymorphs: 0.015 eV/atom

***

No. 6
Density functional theory data (PBE-GGA) for a relaxed Ba2LiSc crystal.

abc: 6.3760 6.3760 6.9510
angles: 79.85 79.85 35.33
Last column: magnetic moment on the atom in μB.
Atoms (fractional coordinates):
Ba 0.0032 0.0032 0.0022  -0.07
Ba 0.4968 0.4968 0.4978  -0.07
Li 0.7500 0.7500 0.7500  0.00
Sc 0.2500 0.2500 0.2500  -0.53

relative energy among the computed polymorphs: 0.172 eV/atom

***

No. 7
Density functional theory data (PBE-GGA) for a relaxed BaLiSc2 crystal.

abc: 3.3893 5.4972 6.3706
angles: 90.00 90.00 90.00
Last column: magnetic moment on the atom in μB.
Atoms (fractional coordinates):
Ba 0.5000 0.5000 0.2500  0.00
Li 0.5000 0.5000 0.7500  0.00
Sc 0.0000 0.0000 0.9874  0.09
Sc 0.0000 0.0000 0.5126  0.09

relative energy among the computed polymorphs: 0.212 eV/atom

***

No. 8
Density functional theory data (PBE-GGA) for a relaxed BaLiScSe3 crystal.

abc: 4.1539 8.5498 9.2468
angles: 107.36 90.00 90.00
Atoms (fractional coordinates):
Ba 0.2500 0.2090 0.2513
Ba 0.7500 0.7910 0.7487
Li 0.2500 0.0886 0.5952
Li 0.7500 0.9114 0.4048
Sc 0.2500 0.6749 0.1526
Sc 0.7500 0.3251 0.8474
Se 0.7500 0.8829 0.1295
Se 0.2500 0.1171 0.8705
Se 0.2500 0.7748 0.4614
Se 0.7500 0.2252 0.5386
Se 0.7500 0.4596 0.1546
Se 0.2500 0.5404 0.8454

uncorrected formation energy: -1719 meV/atom

***

No. 9
Density functional theory data (PBE-GGA) for a relaxed Ba2SrLiSc crystal.

abc: 6.7897 5.1581 6.7897
angles: 90.00 90.00 90.00
Last column: magnetic moment on the atom in μB.
Atoms (fractional coordinates):
Sc 0.5000 0.5000 0.5000  0.39
Sr 0.0000 0.0000 0.0000  0.01
Ba 0.0000 0.0000 0.5000  0.02
Ba 0.5000 0.0000 0.0000  0.02
Li 0.0000 0.5000 0.0000  0.00

final energy: -1.846 eV per atom

***

No. 10
Density functional theory data (PBE-GGA) for a relaxed Ba2LiScTa crystal.

abc: 6.4787 4.8993 6.4787
angles: 90.00 90.00 90.00
Atoms (fractional coordinates):
Sc 0.0000 0.0000 0.0000
Li 0.5000 0.5000 0.5000
Ba 0.0000 0.0000 0.5000
Ba 0.5000 0.0000 0.0000
Ta 0.0000 0.5000 0.0000

final energy: -3.748 eV per atom

***

No. 11
Density functional theory data (PBE-GGA) for a relaxed Ba2LiScTc crystal.

abc: 5.7046 5.2321 5.7046
angles: 90.00 90.00 90.00
Atoms (fractional coordinates):
Sc 0.5000 0.5000 0.5000
Li 0.0000 0.5000 0.0000
Ba 0.0000 0.0000 0.5000
Ba 0.5000 0.0000 0.0000
Tc 0.0000 0.0000 0.0000

final energy: -3.574 eV per atom

***

No. 12
Density functional theory data (PBE-GGA) for a relaxed BaLiSc2Te4 crystal.

abc: 4.4252 7.5273 14.9374
angles: 90.00 90.00 107.09
Atoms (fractional coordinates):
Ba 0.1253 0.2505 0.7500
Ba 0.8747 0.7495 0.2500
Li 0.8451 0.6902 0.7500
Li 0.1549 0.3098 0.2500
Sc 0.3761 0.7522 0.5591
Sc 0.6239 0.2478 0.0591
Sc 0.6239 0.2478 0.4409
Sc 0.3761 0.7522 0.9409
Te 0.2634 0.5268 0.1051
Te 0.7366 0.4732 0.6051
Te 0.7366 0.4732 0.8949
Te 0.2634 0.5268 0.3949
Te 0.0000 0.0000 0.5000
Te 0.0000 0.0000 0.0000
Te 0.4432 0.8864 0.7500
Te 0.5568 0.1136 0.2500

uncorrected formation energy: -1276 meV/atom

***

Q: Which formula does entry 4 have?
A: Ba4LiSc

***

Repeat the eleventh record exactly.
Density functional theory data (PBE-GGA) for a relaxed Ba2LiScTc crystal.

abc: 5.7046 5.2321 5.7046
angles: 90.00 90.00 90.00
Atoms (fractional coordinates):
Sc 0.5000 0.5000 0.5000
Li 0.0000 0.5000 0.0000
Ba 0.0000 0.0000 0.5000
Ba 0.5000 0.0000 0.0000
Tc 0.0000 0.0000 0.0000

final energy: -3.574 eV per atom